## PmOsS (PBE)

Data for an optimized crystal structure of PmOsS.

Unit cell a=4.0385 b=4.0385 c=12.4170 alpha=90.00 beta=90.00 gamma=120.00
With the nearest neighbours (Å) after each atom.
Space group P-6m2 (No. 187)
Inequivalent atoms, fractional coordinates:
Pm: 0.0000 0.0000 0.0000 (multiplicity 1)  6 S 3.03, 6 Os 3.16
Pm: 0.0000 0.0000 0.3331 (multiplicity 2)  6 Os 3.07-3.12, 6 S 3.12-3.21
Os: 0.3333 0.6667 0.1720 (multiplicity 2)  3 S 2.34
Os: 0.6667 0.3333 0.5000 (multiplicity 1)  3 S 2.33
S: 0.3333 0.6667 0.5000 (multiplicity 1)  3 Os 2.33
S: 0.6667 0.3333 0.1556 (multiplicity 2)  3 Os 2.34

Values from the calculation:
- theoretical density (g/cm³) = 10.43
- total DFT energy (no corrections) (eV/atom) = -7.2510
- V (Å³/atom) = 19.5
- total magnetic moment (μB/atom) = 0.00

---

## PmSbOs (PBE)

Data for an optimized crystal structure of PmSbOs.

Unit cell a=6.6545 b=6.6545 c=6.6545 alpha=90.00 beta=90.00 gamma=90.00
With the nearest neighbours (Å) after each atom.
Space group F-43m (No. 216)
Inequivalent atoms, fractional coordinates:
Pm: 0.0000 0.0000 0.0000 (multiplicity 4)  4 Os 2.88
Sb: 0.0000 0.0000 0.5000 (multiplicity 4)  4 Os 2.88
Os: 0.2500 0.2500 0.2500 (multiplicity 4)  4 Sb 2.88, 4 Pm 2.88

Values from the calculation:
- theoretical density (g/cm³) = 10.30
- total DFT energy (no corrections) (eV/atom) = -6.8400
- V (Å³/atom) = 24.6
- total magnetic moment (μB/atom) = 0.00

---

## PmSiOs (PBE)

Data for an optimized crystal structure of PmSiOs.

Unit cell a=6.3786 b=6.3786 c=6.3786 alpha=90.00 beta=90.00 gamma=90.00
With the nearest neighbours (Å) after each atom.
Space group F-43m (No. 216)
Inequivalent atoms, fractional coordinates:
Pm: 0.0000 0.0000 0.0000 (multiplicity 4)  4 Os 2.76
Si: 0.0000 0.0000 0.5000 (multiplicity 4)  4 Os 2.76
Os: 0.2500 0.2500 0.2500 (multiplicity 4)  4 Si 2.76, 4 Pm 2.76

Values from the calculation:
- theoretical density (g/cm³) = 9.30
- total DFT energy (no corrections) (eV/atom) = -7.0518
- V (Å³/atom) = 21.6
- total magnetic moment (μB/atom) = 0.00

---

## Pm2Si5Os3 (PBE)

Data for an optimized crystal structure of Pm2Si5Os3.

Unit cell a=9.7573 b=12.1537 c=5.7445 alpha=90.00 beta=90.00 gamma=90.00
With the nearest neighbours (Å) after each atom.
Space group Ibam (No. 72)
Inequivalent atoms, fractional coordinates:
Pm: 0.2327 0.1342 0.0000 (multiplicity 8)  10 Si 2.98-3.33, 4 Os 3.15-3.22
Si: 0.0000 0.0000 0.2500 (multiplicity 4)  4 Os 2.47
Si: 0.0000 0.2898 0.2500 (multiplicity 8)  3 Os 2.45-2.56, 2 Si 2.56
Si: 0.1654 0.4031 0.0000 (multiplicity 8)  3 Os 2.40-2.46, 2 Si 2.56
Os: 0.0000 0.5000 0.2500 (multiplicity 4)  6 Si 2.46-2.56
Os: 0.0967 0.1457 0.5000 (multiplicity 8)  5 Si 2.40-2.47

Values from the calculation:
- theoretical density (g/cm³) = 9.76
- total DFT energy (no corrections) (eV/atom) = -7.7333
- V (Å³/atom) = 17.0
- total magnetic moment (μB/atom) = 0.00

---

## PmSmOs (PBE)

Data for an optimized crystal structure of PmSmOs.

Unit cell a=6.7618 b=6.7618 c=6.7618 alpha=90.00 beta=90.00 gamma=90.00
With the nearest neighbours (Å) after each atom.
Space group F-43m (No. 216)
Inequivalent atoms, fractional coordinates:
Pm: 0.0000 0.0000 0.0000 (multiplicity 4)  4 Sm 2.93
Sm: 0.2500 0.2500 0.7500 (multiplicity 4)  4 Os 2.93, 4 Pm 2.93
Os: 0.0000 0.0000 0.5000 (multiplicity 4)  4 Sm 2.93

Values from the calculation:
- theoretical density (g/cm³) = 10.43
- ΔH_f (0 K) (eV/atom) = 0.736
- total DFT energy (no corrections) (eV/atom) = -6.1584
- V (Å³/atom) = 25.8
- total magnetic moment (μB/atom) = 0.00

---

## PmSnOs (PBE)

Data for an optimized crystal structure of PmSnOs.

Unit cell a=6.6785 b=6.6785 c=6.6785 alpha=90.00 beta=90.00 gamma=90.00
With the nearest neighbours (Å) after each atom.
Space group F-43m (No. 216)
Inequivalent atoms, fractional coordinates:
Pm: 0.0000 0.0000 0.0000 (multiplicity 4)  4 Os 2.89
Sn: 0.0000 0.0000 0.5000 (multiplicity 4)  4 Os 2.89
Os: 0.2500 0.2500 0.2500 (multiplicity 4)  4 Sn 2.89, 4 Pm 2.89

Values from the calculation:
- theoretical density (g/cm³) = 10.12
- total DFT energy (no corrections) (eV/atom) = -6.7036
- V (Å³/atom) = 24.8
- total magnetic moment (μB/atom) = 0.00

---

## SrPmOs (PBE)

Data for an optimized crystal structure of SrPmOs.

Unit cell a=7.0193 b=7.0193 c=7.0193 alpha=90.00 beta=90.00 gamma=90.00
With the nearest neighbours (Å) after each atom.
Space group F-43m (No. 216)
Inequivalent atoms, fractional coordinates:
Sr: 0.0000 0.0000 0.0000 (multiplicity 4)  4 Os 3.04
Pm: 0.0000 0.0000 0.5000 (multiplicity 4)  4 Os 3.04
Os: 0.2500 0.2500 0.7500 (multiplicity 4)  4 Pm 3.04, 4 Sr 3.04

Values from the calculation:
- theoretical density (g/cm³) = 8.12
- total DFT energy (no corrections) (eV/atom) = -5.5360
- V (Å³/atom) = 28.8
- total magnetic moment (μB/atom) = 0.00

---

## PmTa2Os2 (PBE)

Data for an optimized crystal structure of PmTa2Os2.

Unit cell a=4.3893 b=4.3893 c=10.8094 alpha=90.00 beta=90.00 gamma=90.00
With the nearest neighbours (Å) after each atom.
Space group I4/mmm (No. 139)
Inequivalent atoms, fractional coordinates:
Pm: 0.0000 0.0000 0.0000 (multiplicity 2)  8 Os 3.36, 8 Ta 3.48
Ta: 0.0000 0.5000 0.2500 (multiplicity 4)  4 Os 2.61
Os: 0.0000 0.0000 0.3809 (multiplicity 4)  1 Os 2.58, 4 Ta 2.61

Values from the calculation:
- theoretical density (g/cm³) = 14.15
- ΔH_f (0 K) (eV/atom) = -0.301
- total DFT energy (no corrections) (eV/atom) = -10.4818
- V (Å³/atom) = 20.8
- total magnetic moment (μB/atom) = 0.00

---

## PmTlOs (PBE)

Data for an optimized crystal structure of PmTlOs.

Unit cell a=6.7560 b=6.7560 c=6.7560 alpha=90.00 beta=90.00 gamma=90.00
With the nearest neighbours (Å) after each atom.
Space group F-43m (No. 216)
Inequivalent atoms, fractional coordinates:
Pm: 0.0000 0.0000 0.0000 (multiplicity 4)  4 Tl 2.93
Tl: 0.2500 0.2500 0.7500 (multiplicity 4)  4 Os 2.93, 4 Pm 2.93
Os: 0.0000 0.0000 0.5000 (multiplicity 4)  4 Tl 2.93

Values from the calculation:
- theoretical density (g/cm³) = 11.62
- total DFT energy (no corrections) (eV/atom) = -5.3806
- V (Å³/atom) = 25.7
- total magnetic moment (μB/atom) = 0.03

---

## Pm4TlOs (PBE)

Data for an optimized crystal structure of Pm4TlOs.

Unit cell a=8.8934 b=13.4621 c=6.2915 alpha=90.00 beta=107.61 gamma=90.00
With the nearest neighbours (Å) after each atom.
Space group C2/c (No. 15)
Inequivalent atoms, fractional coordinates:
Pm: 0.1097 0.1691 0.0488 (multiplicity 8)  2 Os 2.91-2.93
Pm: 0.2221 0.4244 0.3922 (multiplicity 8)  2 Os 2.97-3.05, 1 Tl 3.29
Tl: 0.0000 0.3766 0.7500 (multiplicity 4)  8 Pm 3.29-3.47
Os: 0.0000 0.0002 0.2500 (multiplicity 4)  8 Pm 2.91-3.05, 2 Os 3.15

Values from the calculation:
- theoretical density (g/cm³) = 9.02
- total DFT energy (no corrections) (eV/atom) = -5.6699
- V (Å³/atom) = 29.9
- total magnetic moment (μB/atom) = 0.00

---

## PmUOs (PBE)

Data for an optimized crystal structure of PmUOs.

Unit cell a=6.7259 b=6.7259 c=6.7259 alpha=90.00 beta=90.00 gamma=90.00
With the nearest neighbours (Å) after each atom.
Space group F-43m (No. 216)
Inequivalent atoms, fractional coordinates:
Pm: 0.0000 0.0000 0.0000 (multiplicity 4)  4 Os 2.91
U: 0.0000 0.0000 0.5000 (multiplicity 4)  4 Os 2.91
Os: 0.2500 0.2500 0.2500 (multiplicity 4)  4 U 2.91, 4 Pm 2.91

Values from the calculation:
- theoretical density (g/cm³) = 12.51
- ΔH_f (0 K) (eV/atom) = 0.290
- total DFT energy (no corrections) (eV/atom) = -8.7994
- V (Å³/atom) = 25.4
- total magnetic moment (μB/atom) = 0.85

---

## PmZnOs (PBE)

Data for an optimized crystal structure of PmZnOs.

Unit cell a=6.4741 b=6.4741 c=6.4741 alpha=90.00 beta=90.00 gamma=90.00
With the nearest neighbours (Å) after each atom.
Space group F-43m (No. 216)
Inequivalent atoms, fractional coordinates:
Pm: 0.0000 0.0000 0.0000 (multiplicity 4)  4 Os 2.80
Zn: 0.0000 0.0000 0.5000 (multiplicity 4)  4 Os 2.80
Os: 0.2500 0.2500 0.2500 (multiplicity 4)  4 Pm 2.80, 4 Zn 2.80

Values from the calculation:
- theoretical density (g/cm³) = 9.81
- ΔH_f (0 K) (eV/atom) = 0.324
- total DFT energy (no corrections) (eV/atom) = -5.4212
- V (Å³/atom) = 22.6
- total magnetic moment (μB/atom) = 0.02